# 1
A plane-wave DFT calculation with PBE was carried out for a relaxed La4ZnSBr2 crystal.

Calculated values
The volume is 232 Å³/cell. The calculation puts the density of states at the Fermi level at 5.68 states/eV/cell.

Lattice parameters (Å, degrees): 4.200 7.980 7.303 71.65 90.00 90.00
Element x y z (fractional)
S1 0.000 0.500 0.500
Zn1 0.500 0.500 0.000
La1 0.000 0.276 0.255
La2 0.500 0.715 0.276
La3 0.500 0.285 0.724
La4 0.000 0.724 0.745
Br1 0.000 0.000 0.000
Br2 0.500 0.000 0.500

---

# 2
A plane-wave DFT calculation with PBE was carried out for a relaxed LaSb3Br crystal.

Calculated values
The volume is 227 Å³/cell. For the relative energy among the computed polymorphs, the calculation gives 307 meV/atom. The calculation puts the density of states at the Fermi level at 5.70 states/eV/cell.

Lattice parameters (Å, degrees): 6.097 6.097 6.097 90.00 90.00 90.00
Element x y z (fractional)
Sb1 0.000 0.000 0.500
Sb2 0.000 0.500 0.000
Sb3 0.500 0.000 0.000
La1 0.000 0.000 0.000
Br1 0.500 0.500 0.500

---

# 3
A plane-wave DFT calculation with PBE was carried out for a relaxed LaSbBr crystal.

Calculated values
The volume is 184 Å³/cell. For the relative energy among the computed polymorphs, the calculation gives 0 meV/atom. The calculation puts the density of states at the Fermi level at 1.85 states/eV/cell.

Lattice parameters (Å, degrees): 4.508 4.508 9.048 90.00 90.00 90.00
Element x y z (fractional)
La1 0.500 0.000 0.260
La2 0.000 0.500 0.740
Sb1 0.000 0.000 0.000
Sb2 0.500 0.500 0.000
Br1 0.000 0.500 0.378
Br2 0.500 0.000 0.622

---

# 4
A plane-wave DFT calculation with PBE was carried out for a relaxed LaSb2Br crystal.

Calculated values
The volume is 147 Å³/cell. For the relative energy among the computed polymorphs, the calculation gives 123 meV/atom. The calculation puts the density of states at the Fermi level at 0.15 states/eV/cell.

Lattice parameters (Å, degrees): 7.002 7.002 7.002 145.30 130.43 61.92
Element x y z (fractional)
Br1 0.497 0.497 0.000
La1 0.319 0.819 0.500
Sb1 0.758 0.258 0.500
Sb2 0.925 0.925 0.000

---

# 5
A plane-wave DFT calculation with PBE was carried out for a relaxed La4Sb2Br3 crystal.

Calculated values
The volume is 318 Å³/cell. The calculation puts the density of states at the Fermi level at 5.13 states/eV/cell.

Lattice parameters (Å, degrees): 4.533 4.533 17.850 90.07 89.93 120.00
Element x y z (fractional)
Br1 0.000 0.000 0.000
Br2 0.335 0.665 0.601
Br3 0.665 0.335 0.399
La1 0.001 0.999 0.698
La2 0.334 0.666 0.901
La3 0.999 0.001 0.302
La4 0.666 0.334 0.099
Sb1 0.667 0.333 0.799
Sb2 0.333 0.667 0.201

---

# 6
A plane-wave DFT calculation with PBE was carried out for a relaxed LaSbBr crystal.

Calculated values
The volume is 100 Å³/cell. For the relative energy among the computed polymorphs, the calculation gives 254 meV/atom. The calculation puts the density of states at the Fermi level at 2.06 states/eV/cell.

Lattice parameters (Å, degrees): 8.130 8.129 3.600 77.22 77.19 25.59
Element x y z (fractional)
La1 0.656 0.656 0.344
Br1 0.038 0.038 0.962
Sb1 0.305 0.305 0.695

---

# 7
A plane-wave DFT calculation with PBE was carried out for a relaxed LaSb2Br crystal.

Calculated values
The volume is 134 Å³/cell. For the relative energy among the computed polymorphs, the calculation gives 21 meV/atom. The calculation puts the density of states at the Fermi level at 0.54 states/eV/cell.

Lattice parameters (Å, degrees): 5.763 5.763 5.830 89.91 89.91 43.60
Element x y z (fractional)
Br1 0.477 0.477 0.375
Sb1 0.072 0.072 0.875
Sb2 0.758 0.758 0.874
La1 0.193 0.193 0.375

---

# 8
A plane-wave DFT calculation with PBE was carried out for a relaxed La3SbBr4 crystal.

Calculated values
The volume is 256 Å³/cell. The calculation puts the density of states at the Fermi level at 3.73 states/eV/cell.

Lattice parameters (Å, degrees): 4.707 4.707 11.574 90.00 90.00 90.00
Element x y z (fractional)
La1 0.500 0.500 0.353
La2 0.000 0.000 0.000
La3 0.500 0.500 0.647
Br1 0.500 0.000 0.827
Br2 0.000 0.500 0.827
Br3 0.000 0.500 0.173
Br4 0.500 0.000 0.173
Sb1 0.000 0.000 0.500

---

# 9
A plane-wave DFT calculation with PBE was carried out for a relaxed LaSb2Br crystal.

Calculated values
The volume is 130 Å³/cell. For the relative energy among the computed polymorphs, the calculation gives 89 meV/atom. The calculation puts the density of states at the Fermi level at 1.80 states/eV/cell.

Lattice parameters (Å, degrees): 3.945 3.945 8.352 90.00 90.00 90.00
Element x y z (fractional)
Br1 0.000 0.000 0.568
La1 0.500 0.500 0.766
Sb1 0.000 0.000 0.010
Sb2 0.500 0.500 0.156

---

# 10
A plane-wave DFT calculation with PBE was carried out for a relaxed LaSb2Br crystal.

Calculated values
The volume is 120 Å³/cell. For the relative energy among the computed polymorphs, the calculation gives 683 meV/atom. The calculation puts the density of states at the Fermi level at 3.61 states/eV/cell.

Lattice parameters (Å, degrees): 5.541 5.541 5.541 60.00 60.00 60.00
Element x y z (fractional)
Sb1 0.750 0.750 0.750
Sb2 0.250 0.250 0.250
Br1 0.000 0.000 0.000
La1 0.500 0.500 0.500

---

# 11
A plane-wave DFT calculation with PBE was carried out for a relaxed LaSb3Br crystal.

Calculated values
The volume is 165 Å³/cell. For the relative energy among the computed polymorphs, the calculation gives 0 meV/atom. The calculation puts the density of states at the Fermi level at 3.20 states/eV/cell.

Lattice parameters (Å, degrees): 5.480 5.480 5.480 90.00 90.00 90.00
Element x y z (fractional)
Sb1 0.500 0.000 0.000
Sb2 0.000 0.500 0.000
Sb3 0.000 0.000 0.500
La1 0.500 0.500 0.500
Br1 0.000 0.000 0.000

---

# 12
A plane-wave DFT calculation with PBE was carried out for a relaxed La3SbBr3 crystal.

Calculated values
The volume is 982 Å³/cell. The calculation puts the density of states at the Fermi level at 16.17 states/eV/cell.

Lattice parameters (Å, degrees): 10.846 10.846 10.846 109.47 109.47 109.47
Element x y z (fractional)
La1 0.250 0.246 0.254
La2 0.746 0.493 0.496
La3 0.754 0.750 0.246
La4 0.250 0.004 0.496
La5 0.504 0.007 0.254
La6 0.996 0.246 0.493
La7 0.507 0.254 0.004
La8 0.996 0.750 0.004
La9 0.504 0.496 0.750
La10 0.746 0.254 0.750
La11 0.754 0.004 0.007
La12 0.993 0.496 0.246
Br1 0.003 0.753 0.506
Br2 0.750 0.753 0.747
Br3 0.247 0.250 0.753
Br4 0.006 0.503 0.753
Br5 0.247 0.997 0.994
Br6 0.253 0.747 0.250
Br7 0.497 0.503 0.250
Br8 0.253 0.506 0.503
Br9 0.497 0.994 0.747
Br10 0.750 0.997 0.503
Br11 0.494 0.747 0.997
Br12 0.003 0.250 0.997
Sb1 0.750 0.500 0.000
Sb2 0.000 0.000 0.250
Sb3 0.500 0.250 0.500
Sb4 0.750 0.250 0.250

---

# 13
A plane-wave DFT calculation with PBE was carried out for a relaxed LaSbBr4 crystal.

Calculated values
The volume is 172 Å³/cell. The calculation puts the density of states at the Fermi level at 6.25 states/eV/cell.

Lattice parameters (Å, degrees): 6.243 6.243 6.243 60.00 60.00 60.00
Element x y z (fractional)
Br1 0.375 0.375 0.375
Br2 0.375 0.375 0.876
Br3 0.375 0.876 0.375
Br4 0.876 0.375 0.375
Sb1 0.000 0.000 0.000
La1 0.750 0.750 0.750

---

# 14
A plane-wave DFT calculation with PBE was carried out for a relaxed LaSbBr crystal.

Calculated values
The volume is 107 Å³/cell. For the relative energy among the computed polymorphs, the calculation gives 392 meV/atom. The calculation puts the density of states at the Fermi level at 4.94 states/eV/cell.

Lattice parameters (Å, degrees): 5.332 5.332 5.332 60.00 60.00 60.00
Element x y z (fractional)
La1 0.250 0.250 0.250
Br1 0.500 0.500 0.500
Sb1 0.000 0.000 0.000

---

# 15
A plane-wave DFT calculation with PBE was carried out for a relaxed La9Sb16Br3 crystal.

Calculated values
The volume is 1737 Å³/cell. The calculation puts the density of states at the Fermi level at 1.41 states/eV/cell.

Lattice parameters (Å, degrees): 4.349 21.473 21.473 120.00 90.00 90.00
Element x y z (fractional)
La1 0.250 0.007 0.402
La2 0.250 0.691 0.458
La3 0.250 0.542 0.233
La4 0.250 0.095 0.246
La5 0.750 0.233 0.691
La6 0.250 0.151 0.905
La7 0.250 0.754 0.849
La8 0.750 0.402 0.395
La9 0.750 0.849 0.095
La10 0.750 0.993 0.598
La11 0.250 0.767 0.309
La12 0.750 0.246 0.151
La13 0.250 0.395 0.993
La14 0.750 0.458 0.767
La15 0.750 0.605 0.007
La16 0.750 0.309 0.542
La17 0.250 0.598 0.605
La18 0.750 0.905 0.754
Br1 0.750 0.099 0.150
Br2 0.250 0.949 0.099
Br3 0.750 0.850 0.949
Br4 0.250 0.150 0.051
Br5 0.750 0.051 0.901
Br6 0.250 0.901 0.850
Sb1 0.750 0.896 0.412
Sb2 0.750 0.371 0.863
Sb3 0.750 0.588 0.484
Sb4 0.250 0.714 0.990
Sb5 0.750 0.428 0.250
Sb6 0.250 0.629 0.137
Sb7 0.750 0.724 0.714
Sb8 0.250 0.104 0.588
Sb9 0.750 0.990 0.276
Sb10 0.750 0.131 0.774
Sb11 0.750 0.137 0.509
Sb12 0.750 0.491 0.629
Sb13 0.250 0.869 0.226
Sb14 0.250 0.357 0.131
Sb15 0.750 0.822 0.572
Sb16 0.250 0.484 0.896
Sb17 0.250 0.276 0.286
Sb18 0.250 0.572 0.750
Sb19 0.750 0.516 0.104
Sb20 0.250 0.333 0.667
Sb21 0.750 0.226 0.357
Sb22 0.250 0.863 0.491
Sb23 0.250 0.774 0.643
Sb24 0.750 0.643 0.869
Sb25 0.250 0.250 0.822
Sb26 0.250 0.412 0.516
Sb27 0.250 0.010 0.724
Sb28 0.250 0.178 0.428
Sb29 0.750 0.667 0.333
Sb30 0.750 0.286 0.010
Sb31 0.250 0.509 0.371
Sb32 0.750 0.750 0.178

---

# 16
A plane-wave DFT calculation with PBE was carried out for a relaxed LaSbBr crystal.

Calculated values
The volume is 119 Å³/cell. For the relative energy among the computed polymorphs, the calculation gives 362 meV/atom. The calculation puts the density of states at the Fermi level at 2.74 states/eV/cell.

Lattice parameters (Å, degrees): 4.260 4.260 7.559 90.00 90.00 120.00
Element x y z (fractional)
Br1 0.000 0.000 0.078
La1 0.667 0.333 0.321
Sb1 0.333 0.667 0.602

---

# 17
A plane-wave DFT calculation with PBE was carried out for a relaxed LaSb2Br crystal.

Calculated values
The volume is 113 Å³/cell. For the relative energy among the computed polymorphs, the calculation gives 0 meV/atom. The calculation puts the density of states at the Fermi level at 0.40 states/eV/cell.

Lattice parameters (Å, degrees): 6.649 6.682 6.682 141.82 141.53 55.39
Element x y z (fractional)
Sb1 0.514 0.500 0.014
Sb2 0.986 0.000 0.986
La1 0.250 0.750 0.500
Br1 0.750 0.250 0.500

---

# 18
A plane-wave DFT calculation with PBE was carried out for a relaxed LaSbBr crystal.

Calculated values
The volume is 96 Å³/cell. For the relative energy among the computed polymorphs, the calculation gives 621 meV/atom. The calculation puts the density of states at the Fermi level at 4.43 states/eV/cell.

Lattice parameters (Å, degrees): 5.146 5.146 5.146 60.00 60.00 60.00
Element x y z (fractional)
La1 0.000 0.000 0.000
Sb1 0.500 0.500 0.500
Br1 0.250 0.250 0.250

---

# 19
A plane-wave DFT calculation with PBE was carried out for a relaxed LaSb2Br crystal.

Calculated values
The volume is 114 Å³/cell. For the relative energy among the computed polymorphs, the calculation gives 32 meV/atom. The calculation puts the density of states at the Fermi level at 1.87 states/eV/cell.

Lattice parameters (Å, degrees): 4.355 4.353 5.996 90.00 90.00 90.00
Element x y z (fractional)
La1 0.000 0.500 0.500
Br1 0.500 0.000 0.500
Sb1 0.000 0.000 0.000
Sb2 0.500 0.500 0.000

---

# 20
A plane-wave DFT calculation with PBE was carried out for a relaxed LaSb2Br crystal.

Calculated values
The volume is 116 Å³/cell. For the relative energy among the computed polymorphs, the calculation gives 358 meV/atom. The calculation puts the density of states at the Fermi level at 2.54 states/eV/cell.

Lattice parameters (Å, degrees): 5.693 5.693 5.693 126.04 126.04 79.82
Element x y z (fractional)
Br1 0.500 0.500 0.000
Sb1 0.000 0.000 0.000
Sb2 0.250 0.750 0.500
La1 0.750 0.250 0.500

---

The raw formation energy results, record by record, are as follows: -1.26; 0.47; -1.32; -0.82; -1.50; -1.06; -0.92; -1.40; -0.86; -0.26; 0.16; -1.54; -0.16; -0.92; -1.07; -0.95; -0.94; -0.70; -0.91; -0.59 eV per atom.
The total energy results, record by record, are as follows: -4.8207; -3.3237; -4.8902; -4.5327; -5.1638; -4.6366; -4.6352; -4.5992; -4.5669; -3.9733; -3.6309; -4.9594; -2.7859; -4.4981; -5.1882; -4.5281; -4.6558; -4.2694; -4.6238; -4.2983 eV/atom.